An optimized crystal structure of LaDy2Ga6, computed with GGA-PBE.

Computed properties:
Total magnetic moment ... 0.00 μB/f.u.
Space group ... Immm
DOS(E_F) ... 3.7 states/eV/cell

abc: 7.7952 7.7952 7.7952
angles: 147.36 124.72 65.69
Atoms (fractional coordinates):
La (0.0000, 0.0000, 0.0000)
Dy (0.3732, 0.8732, 0.5000)
Dy (0.6268, 0.1268, 0.5000)
Ga (0.0124, 0.3151, 0.6973)
Ga (0.3215, 0.5000, 0.8215)
Ga (0.3822, 0.6849, 0.6973)
Ga (0.6178, 0.3151, 0.3027)
Ga (0.6785, 0.5000, 0.1785)
Ga (0.9876, 0.6849, 0.3027)

---

An optimized crystal structure of FeRePd6, computed with GGA-PBE.

Computed properties:
Total magnetic moment ... 2.86 μB/f.u.
Space group ... Amm2
DOS(E_F) ... 16.4 states/eV/cell

abc: 4.4859 5.5164 9.6218
angles: 90.00 90.00 90.00
Atoms (fractional coordinates):
Fe (0.0000, 0.0000, 0.0000)
Fe (0.0000, 0.5000, 0.5000)
Re (0.5000, 0.0000, 0.1646)
Re (0.5000, 0.5000, 0.6646)
Pd (0.0000, 0.0000, 0.4956)
Pd (0.0000, 0.2440, 0.2431)
Pd (0.0000, 0.2560, 0.7431)
Pd (0.0000, 0.5000, 0.9956)
Pd (0.0000, 0.7440, 0.7431)
Pd (0.0000, 0.7560, 0.2431)
Pd (0.5000, 0.0000, 0.6640)
Pd (0.5000, 0.2443, 0.9156)
Pd (0.5000, 0.2557, 0.4156)
Pd (0.5000, 0.5000, 0.1640)
Pd (0.5000, 0.7443, 0.4156)
Pd (0.5000, 0.7557, 0.9156)

---

The calculation returns the following energy values, one per record and in order: -4.0953, -6.4324 eV per atom.